VASP calculation (PBE) on crystalline RuPbSe at its relaxed geometry.

Cell and atoms, written as CIF:
```
data_RuPbSe
_chemical_formula_sum 'Ru4 Pb4 Se4'
_cell_length_a 8.707
_cell_length_b 3.526
_cell_length_c 10.967
_cell_angle_alpha 90.00
_cell_angle_beta 124.05
_cell_angle_gamma 90.00
_symmetry_space_group_name_H-M 'P 1'
_symmetry_Int_Tables_number 1
loop_
_symmetry_equiv_pos_as_xyz
'x,y,z'
loop_
_atom_site_label
_atom_site_type_symbol
_atom_site_fract_x
_atom_site_fract_y
_atom_site_fract_z
Pb1 Pb 0.667 0.000 0.516
Pb2 Pb 0.667 0.500 0.016
Pb3 Pb 0.996 0.000 0.969
Ru1 Ru 0.321 0.500 0.021
Se1 Se 0.167 0.500 0.299
Ru2 Ru 0.318 0.500 0.754
Ru3 Ru 0.321 0.000 0.521
Ru4 Ru 0.318 0.000 0.254
Se2 Se 0.167 0.000 0.799
Se3 Se 0.531 0.500 0.678
Pb4 Pb 0.996 0.500 0.469
Se4 Se 0.531 0.000 0.178
```

Summary:
N(E_F) = 0.733 states/eV per atom
Crystal system = monoclinic
Relative energy among the computed polymorphs = 0.14 eV per formula unit
Space group = Cm, No. 8

VASP calculation (PBE) on crystalline AcMgZn4 at its relaxed geometry.

Cell and atoms, written as CIF:
```
data_AcMgZn4
_chemical_formula_sum 'Ac1 Mg1 Zn4'
_cell_length_a 5.606
_cell_length_b 5.606
_cell_length_c 5.606
_cell_angle_alpha 60.00
_cell_angle_beta 60.00
_cell_angle_gamma 60.00
_symmetry_space_group_name_H-M 'P 1'
_symmetry_Int_Tables_number 1
loop_
_symmetry_equiv_pos_as_xyz
'x,y,z'
loop_
_atom_site_label
_atom_site_type_symbol
_atom_site_fract_x
_atom_site_fract_y
_atom_site_fract_z
Zn1 Zn 0.625 0.625 0.625
Zn2 Zn 0.625 0.625 0.126
Ac1 Ac 0.000 0.000 0.000
Zn3 Zn 0.126 0.625 0.625
Mg1 Mg 0.250 0.250 0.250
Zn4 Zn 0.625 0.126 0.625
```

Summary:
N(E_F) = 0.568 states/eV per atom
Crystal system = cubic
Relative energy among the computed polymorphs = 0.35 eV per formula unit
Space group = F-43m, No. 216
Energy relative to the elements = -0.15 eV/atom